Record 1
This record from Alexandria describes a geometry-optimized Mn2ReWN structure. The functional is PBE.

Lattice parameters (Å, degrees): 3.831 3.831 3.998 90.00 90.00 90.00
Positions (direct):
Re 0.000 0.000 0.500
Mn 0.000 0.500 0.000
Mn 0.500 0.000 0.000
W 0.500 0.500 0.500
N 0.000 0.000 0.000

## Properties
Energy above the most stable polymorph in this dataset, meV per atom: 46

Record 2
This record from Alexandria describes a geometry-optimized Pm5MgPb4 structure. The functional is PBE.

Lattice parameters (Å, degrees): 4.630 7.740 9.317 85.26 104.39 90.00
Positions (direct):
Pm 0.784 0.656 0.568
Pm 0.873 0.199 0.747
Pm 0.127 0.801 0.253
Pm 0.500 0.500 0.000
Pm 0.216 0.344 0.432
Mg 0.500 0.000 0.000
Pb 0.316 0.935 0.632
Pb 0.950 0.774 0.899
Pb 0.684 0.065 0.368
Pb 0.050 0.226 0.101

## Properties
ΔE_f, meV per atom: -230